VASP calculation (PBE-GGA) on a geometry-optimized CoSiTe2 structure.

abc: 3.326 3.326 7.608
angles: 90.00 90.00 90.00
Fractional positions:
1 Co 0.000 0.000 0.000
2 Si 0.500 0.500 0.107
3 Te 0.000 0.000 0.334
4 Te 0.500 0.500 0.762

Values from the calculation:
As for the space group: P4mm. For the total magnetic moment, the calculation gives 0.00 Bohr magnetons per cell. The calculation puts the formation energy without anion corrections at 0.21 eV/atom. The total energy comes out at -4.49 eV per atom. The density comes out at 6.753 g/cm³.



VASP calculation (PBE-GGA) on a geometry-optimized CoSiTe2 structure.

abc: 4.829 4.829 4.829
angles: 111.25 111.25 105.97
Fractional positions:
1 Co 0.000 0.000 0.000
2 Si 0.500 0.500 0.000
3 Te 0.000 0.500 0.500
4 Te 0.500 0.000 0.500

Values from the calculation:
As for the space group: I4/mmm. For the total magnetic moment, the calculation gives 0.97 Bohr magnetons per cell. The calculation puts the formation energy without anion corrections at 0.45 eV/atom. The total energy comes out at -4.25 eV per atom. The density comes out at 6.574 g/cm³.



VASP calculation (PBE-GGA) on a geometry-optimized CoSiTe structure.

abc: 4.214 4.214 4.214
angles: 60.00 60.00 60.00
Fractional positions:
1 Co 0.000 0.000 0.000
2 Si 0.250 0.250 0.250
3 Te 0.750 0.750 0.750

Values from the calculation:
As for the space group: F-43m. For the total magnetic moment, the calculation gives 0.00 Bohr magnetons per cell. The calculation puts the formation energy without anion corrections at 0.06 eV/atom. The total energy comes out at -5.16 eV per atom. The density comes out at 6.735 g/cm³. The value obtained for the excess energy over the best structure of this formula in the dataset is 68.0 meV per atom.



VASP calculation (PBE-GGA) on a geometry-optimized CoSiTe2 structure.

abc: 8.773 8.773 8.773
angles: 24.04 24.04 24.04
Fractional positions:
1 Co 0.000 0.000 0.000
2 Si 0.500 0.500 0.500
3 Te 0.387 0.387 0.387
4 Te 0.613 0.613 0.613

Values from the calculation:
As for the space group: R-3m. For the total magnetic moment, the calculation gives 0.00 Bohr magnetons per cell. The calculation puts the formation energy without anion corrections at 0.32 eV/atom. The total energy comes out at -4.39 eV per atom. The density comes out at 5.771 g/cm³.



VASP calculation (PBE-GGA) on a geometry-optimized CoSiTe structure.

abc: 6.583 6.583 6.583
angles: 153.73 153.73 37.49
Fractional positions:
1 Co 0.000 0.000 0.000
2 Si 0.430 0.430 0.000
3 Te 0.209 0.209 0.000

Values from the calculation:
As for the space group: I4mm. For the total magnetic moment, the calculation gives 0.29 Bohr magnetons per cell. The calculation puts the formation energy without anion corrections at 0.01 eV/atom. The total energy comes out at -5.21 eV per atom. The density comes out at 6.389 g/cm³. The value obtained for the excess energy over the best structure of this formula in the dataset is 17.6 meV per atom.



VASP calculation (PBE-GGA) on a geometry-optimized CoSiTe2 structure.

abc: 6.480 6.480 6.480
angles: 145.15 145.15 50.11
Fractional positions:
1 Co 0.000 0.000 0.000
2 Si 0.250 0.750 0.500
3 Te 0.500 0.500 0.000
4 Te 0.750 0.250 0.500

Values from the calculation:
As for the space group: I-4m2. For the total magnetic moment, the calculation gives 1.68 Bohr magnetons per cell. The calculation puts the formation energy without anion corrections at 0.66 eV/atom. The total energy comes out at -4.04 eV per atom. The density comes out at 6.427 g/cm³.



VASP calculation (PBE-GGA) on a geometry-optimized CoSiTe3 structure.

abc: 5.002 5.002 5.002
angles: 90.00 90.00 90.00
Fractional positions:
1 Co 0.000 0.000 0.000
2 Si 0.500 0.500 0.500
3 Te 0.000 0.000 0.500
4 Te 0.000 0.500 0.000
5 Te 0.500 0.000 0.000

Values from the calculation:
As for the space group: Pm-3m. For the total magnetic moment, the calculation gives 0.01 Bohr magnetons per cell. The calculation puts the formation energy without anion corrections at 0.62 eV/atom. The total energy comes out at -3.77 eV per atom. The density comes out at 6.234 g/cm³.



VASP calculation (PBE-GGA) on a geometry-optimized Co2Si2Te structure.

abc: 6.274 6.274 6.274
angles: 146.92 146.92 47.48
Fractional positions:
1 Co 0.126 0.126 0.000
2 Co 0.874 0.874 0.000
3 Si 0.250 0.750 0.500
4 Si 0.750 0.250 0.500
5 Te 0.500 0.500 0.000

Values from the calculation:
As for the space group: I4/mmm. For the total magnetic moment, the calculation gives 0.00 Bohr magnetons per cell. The calculation puts the formation energy without anion corrections at -0.19 eV/atom. The total energy comes out at -5.83 eV per atom. The density comes out at 6.836 g/cm³.



VASP calculation (PBE-GGA) on a geometry-optimized CoSiTe2 structure.

abc: 5.287 5.287 5.287
angles: 137.17 113.85 82.08
Fractional positions:
1 Co 0.000 0.000 0.000
2 Si 0.500 0.500 0.000
3 Te 0.205 0.705 0.500
4 Te 0.795 0.295 0.500

Values from the calculation:
As for the space group: Immm. For the total magnetic moment, the calculation gives 1.15 Bohr magnetons per cell. The calculation puts the formation energy without anion corrections at 0.56 eV/atom. The total energy comes out at -4.15 eV per atom. The density comes out at 6.396 g/cm³.



VASP calculation (PBE-GGA) on a geometry-optimized CoSi2Te structure.

abc: 3.637 3.637 5.147
angles: 90.00 90.00 90.00
Fractional positions:
1 Co 0.000 0.000 0.000
2 Si 0.000 0.500 0.500
3 Si 0.500 0.000 0.500
4 Te 0.500 0.500 0.000

Values from the calculation:
As for the space group: P4/mmm. For the total magnetic moment, the calculation gives 0.71 Bohr magnetons per cell. The calculation puts the formation energy without anion corrections at 0.56 eV/atom. The total energy comes out at -4.72 eV per atom. The density comes out at 5.918 g/cm³.



VASP calculation (PBE-GGA) on a geometry-optimized CoSiTe2 structure.

abc: 4.878 4.878 4.878
angles: 60.00 60.00 60.00
Fractional positions:
1 Co 0.000 0.000 0.000
2 Si 0.750 0.750 0.750
3 Te 0.250 0.250 0.250
4 Te 0.500 0.500 0.500

Values from the calculation:
As for the space group: F-43m. For the total magnetic moment, the calculation gives 1.00 Bohr magnetons per cell. The calculation puts the formation energy without anion corrections at 0.84 eV/atom. The total energy comes out at -3.87 eV per atom. The density comes out at 6.925 g/cm³.



VASP calculation (PBE-GGA) on a geometry-optimized CoSi2Te structure.

abc: 2.900 2.900 8.243
angles: 90.00 90.00 90.00
Fractional positions:
1 Co 0.000 0.000 0.000
2 Si 0.500 0.500 0.163
3 Si 0.500 0.500 0.837
4 Te 0.000 0.000 0.500

Values from the calculation:
As for the space group: P4/mmm. For the total magnetic moment, the calculation gives 0.36 Bohr magnetons per cell. The calculation puts the formation energy without anion corrections at 0.21 eV/atom. The total energy comes out at -5.07 eV per atom. The density comes out at 5.814 g/cm³.